Ac4MgTe5 | PBE-GGA | relaxed

Computed properties:
SG = No. 166
total moment = 0.000 μB/f.u.
uncorrected formation energy = -1.32 eV per atom
DFT total energy = -4.698 eV per atom

Cell: 4.5302 4.5302 20.1411 Å, 83.54 83.54 60.00°
Closest atoms and distances in Å follow each position.
Fractional coordinates of all 10 atoms:
1 Ac 0.8974 0.8974 0.3077  6 Te 3.29-3.43
2 Ac 0.2981 0.2981 0.1058  6 Te 3.31-3.36
3 Ac 0.7019 0.7019 0.8942  6 Te 3.31-3.36
4 Ac 0.1026 0.1026 0.6923  6 Te 3.29-3.43
5 Mg 0.5000 0.5000 0.5000  6 Te 3.07
6 Te 0.4025 0.4025 0.7924  6 Ac 3.29-3.31
7 Te 0.0000 0.0000 0.0000  6 Ac 3.36
8 Te 0.5975 0.5975 0.2076  6 Ac 3.29-3.31
9 Te 0.8064 0.8064 0.5809  3 Mg 3.07, 3 Ac 3.43
10 Te 0.1936 0.1936 0.4191  3 Mg 3.07, 3 Ac 3.43

HfZr2Be2Rh5 | PBE-GGA | relaxed

Computed properties:
SG = No. 127
total moment = 0.000 μB/f.u.
DFT total energy = -8.001 eV per atom
energy of formation from the pure elements = -0.8746 eV per atom

Cell: 3.3418 9.4544 9.4544 Å, 90.00 90.00 90.00°
Closest atoms and distances in Å follow each position.
Fractional coordinates of all 20 atoms:
1 Hf 0.0000 0.0000 0.0000  8 Rh 2.72
2 Hf 0.0000 0.5000 0.5000  8 Rh 2.72
3 Zr 0.0000 0.6738 0.1738  3 Be 2.76-2.82, 10 Rh 2.86-3.05
4 Zr 0.0000 0.3262 0.8262  3 Be 2.76-2.82, 10 Rh 2.86-3.05
5 Zr 0.0000 0.1738 0.3262  3 Be 2.76-2.82, 10 Rh 2.86-3.05
6 Zr 0.0000 0.8262 0.6738  3 Be 2.76-2.82, 10 Rh 2.86-3.05
7 Be 0.0000 0.1200 0.6200  6 Rh 2.32-2.33
8 Be 0.0000 0.8800 0.3800  6 Rh 2.32-2.33
9 Be 0.0000 0.6200 0.8800  6 Rh 2.32-2.33
10 Be 0.0000 0.3800 0.1200  6 Rh 2.32-2.33
11 Rh 0.5000 0.2154 0.0720  2 Be 2.33
12 Rh 0.5000 0.7846 0.9280  2 Be 2.33
13 Rh 0.5000 0.0720 0.7846  2 Be 2.33
14 Rh 0.5000 0.7154 0.4280  2 Be 2.33
15 Rh 0.5000 0.9280 0.2154  2 Be 2.33
16 Rh 0.5000 0.2846 0.5720  2 Be 2.33
17 Rh 0.5000 0.5720 0.7154  2 Be 2.33
18 Rh 0.5000 0.4280 0.2846  2 Be 2.33
19 Rh 0.5000 0.5000 0.0000  4 Be 2.32
20 Rh 0.5000 0.0000 0.5000  4 Be 2.32

Rb2TlSe | PBE-GGA | relaxed

Computed properties:
SG = No. 225
polymorph energy (0 for the lowest one) = 5 meV/atom
total moment = 0.000 μB/f.u.
uncorrected formation energy = -0.41 eV per atom
DFT total energy = -2.353 eV per atom

Cell: 6.0306 6.0306 6.0306 Å, 60.00 60.00 60.00°
Closest atoms and distances in Å follow each position.
Fractional coordinates of all 4 atoms:
1 Tl 0.5000 0.5000 0.5000  8 Rb 3.69
2 Se 0.0000 0.0000 0.0000  8 Rb 3.69
3 Rb 0.2500 0.2500 0.2500  4 Tl 3.69, 4 Se 3.69
4 Rb 0.7500 0.7500 0.7500  4 Tl 3.69, 4 Se 3.69

Please write out number 3 again, unchanged.
Rb2TlSe | PBE-GGA | relaxed

Computed properties:
SG = No. 225
polymorph energy (0 for the lowest one) = 5 meV/atom
total moment = 0.000 μB/f.u.
uncorrected formation energy = -0.41 eV per atom
DFT total energy = -2.353 eV per atom

Cell: 6.0306 6.0306 6.0306 Å, 60.00 60.00 60.00°
Closest atoms and distances in Å follow each position.
Fractional coordinates of all 4 atoms:
1 Tl 0.5000 0.5000 0.5000  8 Rb 3.69
2 Se 0.0000 0.0000 0.0000  8 Rb 3.69
3 Rb 0.2500 0.2500 0.2500  4 Tl 3.69, 4 Se 3.69
4 Rb 0.7500 0.7500 0.7500  4 Tl 3.69, 4 Se 3.69